Record 1
Computed, not measured: a relaxed structure of MnSbRu2 at the PBE-GGA level of DFT.

Unit cell a=4.443 b=4.443 c=4.443 alpha=60.00 beta=60.00 gamma=60.00
Atoms (fractional coordinates):
1 Mn 0.000 0.000 0.000
2 Sb 0.250 0.250 0.250
3 Ru 0.500 0.500 0.500
4 Ru 0.750 0.750 0.750

For the calculated total energy, the calculation gives -30.7 eV/cell. For the total magnetic moment, the calculation gives 4.341 μB/cell. The uncorrected formation energy comes out at 293 meV/atom.

Record 2
Computed, not measured: a relaxed structure of Pr4Si2Pb5 at the PBE-GGA level of DFT.

Unit cell a=7.833 b=4.345 c=9.416 alpha=90.00 beta=95.91 gamma=90.00
Atoms (fractional coordinates):
1 Pr 0.209 0.000 0.348
2 Pr 0.221 0.000 0.913
3 Pr 0.779 0.000 0.087
4 Pr 0.791 0.000 0.652
5 Si 0.080 0.500 0.115
6 Si 0.920 0.500 0.885
7 Pb 0.138 0.500 0.634
8 Pb 0.451 0.500 0.160
9 Pb 0.500 0.500 0.500
10 Pb 0.549 0.500 0.840
11 Pb 0.862 0.500 0.366

For the calculated total energy, the calculation gives -53.9 eV/cell. For the total magnetic moment, the calculation gives 0.000 μB/cell. The uncorrected formation energy comes out at -491 meV/atom.

Record 3
Computed, not measured: a relaxed structure of Hf2CdCo at the PBE-GGA level of DFT.

Unit cell a=3.153 b=3.153 c=7.468 alpha=90.00 beta=90.00 gamma=90.00
Atoms (fractional coordinates):
1 Hf 0.000 0.000 0.207
2 Hf 0.000 0.000 0.793
3 Cd 0.500 0.500 0.500
4 Co 0.500 0.500 0.000

For the calculated total energy, the calculation gives -28.5 eV/cell. For the total magnetic moment, the calculation gives 0.363 μB/cell. The formation energy is -153 meV/atom.